## NdPd2Pb (PBE)

Data for a relaxed structure of NdPd2Pb.

The space group is P4/mmm (No. 123) and the conventional cell measures 4.843, 4.843 and 3.753 Å, with angles of 90.00, 90.00 and 90.00 degrees. The inequivalent atoms are Nd at (0.000, 0.000, 0.000), Pd at (0.000, 0.500, 0.500) and Pb at (0.500, 0.500, 0.000).

The formation energy comes out at -209 kJ/mol of formula units. As for the calculated total energy: -5.256 eV/atom.